DFT (PBE) results for an optimized crystal structure of Ce3TeCCl.

Geometry as extended XYZ:
```
12
Lattice="-3.940 -0.249 -0.116 0.565 -6.782 -4.623 0.129 -5.909 8.311" Properties=species:S:1:pos:R:3 pbc="T T T"
Ce -0.658 -5.484 0.520
Ce -0.769 -6.390 6.212
C -0.617 -5.040 -1.838
Ce -2.588 -7.456 3.052
Ce -2.478 -6.550 -2.641
Cl -2.483 -7.715 0.036
Ce -0.529 -9.434 4.584
Te -2.350 -11.017 2.599
C -2.630 -7.900 5.409
Ce -2.718 -3.506 -1.012
Cl -0.764 -5.225 3.536
Te -0.897 -1.923 0.972
```

Calculated values
- ρ (g/cm³) = 6.0
- formation energy (no corrections) (eV per atom) = -0.937
- total magnetic moment (μB per atom) = 0.428